Below is Ni2RhAuN after structural relaxation, with properties calculated at the GGA-PBEsol level.

The value obtained for the formation energy from raw total energies is 2.3297 eV per atom. As for the density of states at the Fermi level: 1.484 states/eV per atom. The crystal system is tetragonal.

The space group is P4/mmm (No. 123) and the conventional cell measures 4.4339, 4.4339 and 4.9513 Å, with angles of 90.00, 90.00 and 90.00 degrees. Symmetry generates all atoms from Ni at (0.0000, 0.5000, 0.0000), Rh at (0.0000, 0.0000, 0.0000), Au at (0.0000, 0.0000, 0.5000) and N at (0.5000, 0.5000, 0.5000).